K2SrGeC: optimized geometry, PBE-GGA.

Structure (CIF):
```
data_K2SrGeC
_cell_length_a 5.573
_cell_length_b 5.573
_cell_length_c 5.403
_cell_angle_alpha 90.00
_cell_angle_beta 90.00
_cell_angle_gamma 90.00
_space_group_name_H-M_alt 'P 4/m m m'
_space_group_IT_number 123
_space_group_name_Hall '-P 4 2'
loop_
_atom_site_label
_atom_site_type_symbol
_atom_site_fract_x
_atom_site_fract_y
_atom_site_fract_z
K1 K 0.000 0.500 0.000
Sr1 Sr 0.000 0.000 0.500
Ge1 Ge 0.500 0.500 0.500
C1 C 0.000 0.000 0.000
```

Calculated values
Its density of states at the Fermi level is 0.539 states/eV/atom. The spin magnetization is 3.9 μB per cell. The calculation puts the energy relative to the elements at 0.809 eV/atom.

---

MgCd2Te3: optimized geometry, PBE-GGA.

Structure (CIF):
```
data_MgCd2Te3
_cell_length_a 8.056
_cell_length_b 13.957
_cell_length_c 8.056
_cell_angle_alpha 90.00
_cell_angle_beta 109.49
_cell_angle_gamma 90.00
_space_group_name_H-M_alt 'C 1 c 1'
_space_group_IT_number 9
_space_group_name_Hall 'C -2yc'
loop_
_atom_site_label
_atom_site_type_symbol
_atom_site_fract_x
_atom_site_fract_y
_atom_site_fract_z
Mg1 Mg 0.000 0.083 0.000
Cd1 Cd 0.499 0.083 0.500
Cd2 Cd 0.499 0.251 0.000
Te1 Te 0.121 0.081 0.371
Te2 Te 0.122 0.248 0.877
Te3 Te 0.129 0.416 0.377
```

Calculated values
As for the uncorrected formation energy: -598 meV/atom. The spin magnetization is 0.0 μB per cell.

---

Er2CdB2Rh5: optimized geometry, PBE-GGA.

Structure (CIF):
```
data_Er2CdB2Rh5
_cell_length_a 9.646
_cell_length_b 9.646
_cell_length_c 3.202
_cell_angle_alpha 90.00
_cell_angle_beta 90.00
_cell_angle_gamma 90.00
_space_group_name_H-M_alt 'P 4/m b m'
_space_group_IT_number 127
_space_group_name_Hall '-P 4 2ab'
loop_
_atom_site_label
_atom_site_type_symbol
_atom_site_fract_x
_atom_site_fract_y
_atom_site_fract_z
Er1 Er 0.176 0.324 0.000
Cd1 Cd 0.000 0.000 0.000
B1 B 0.122 0.622 0.000
Rh1 Rh 0.000 0.500 0.500
Rh2 Rh 0.070 0.773 0.500
```

Calculated values
Its density of states at the Fermi level is 0.445 states/eV/atom. The spin magnetization is 0.0 μB per cell. The calculation puts the energy relative to the elements at -0.745 eV/atom.

---

Na3TiCr3Se8: optimized geometry, PBE-GGA.

Structure (CIF):
```
data_Na3TiCr3Se8
_cell_length_a 7.4155
_cell_length_b 7.4155
_cell_length_c 21.0695
_cell_angle_alpha 90.00
_cell_angle_beta 90.00
_cell_angle_gamma 120.00
_space_group_name_H-M_alt 'R -3 m'
_space_group_IT_number 166
_space_group_name_Hall '-R 3 2"'
loop_
_atom_site_label
_atom_site_type_symbol
_atom_site_fract_x
_atom_site_fract_y
_atom_site_fract_z
Na1 Na 0.0000 0.5000 0.0000
Ti1 Ti 0.0000 0.0000 0.5000
Cr1 Cr 0.0000 0.5000 0.5000
Se1 Se 0.0000 0.0000 0.2325
Se2 Se 0.0048 0.5024 0.7656
```

Calculated values
As for the uncorrected formation energy: -860 meV/atom. Its density of states at the Fermi level is 0.033 states/eV/atom. The spin magnetization is 27.0 μB per cell.

---

KTi: optimized geometry, PBE-GGA.

Structure (CIF):
```
data_KTi
_cell_length_a 14.049
_cell_length_b 14.049
_cell_length_c 3.155
_cell_angle_alpha 90.00
_cell_angle_beta 90.00
_cell_angle_gamma 90.00
_space_group_name_H-M_alt 'P 4/m'
_space_group_IT_number 83
_space_group_name_Hall '-P 4'
loop_
_atom_site_label
_atom_site_type_symbol
_atom_site_fract_x
_atom_site_fract_y
_atom_site_fract_z
K1 K 0.002 0.371 0.000
K2 K 0.242 0.756 0.500
Ti1 Ti 0.269 0.500 0.000
Ti2 Ti 0.407 0.407 0.500
```

Calculated values
Its density of states at the Fermi level is 1.333 states/eV/atom. The spin magnetization is 0.0 μB per cell. The calculation puts the energy relative to the elements at 0.686 eV/atom. The value obtained for the offset from the most stable computed form is 0 meV/atom.

---

TcSbTeI2: optimized geometry, PBE-GGA.

Structure (CIF):
```
data_TcSbTeI2
_cell_length_a 5.324
_cell_length_b 5.324
_cell_length_c 5.350
_cell_angle_alpha 90.00
_cell_angle_beta 90.00
_cell_angle_gamma 90.00
_space_group_name_H-M_alt 'P 4/m m m'
_space_group_IT_number 123
_space_group_name_Hall '-P 4 2'
loop_
_atom_site_label
_atom_site_type_symbol
_atom_site_fract_x
_atom_site_fract_y
_atom_site_fract_z
Tc1 Tc 0.000 0.000 0.000
Sb1 Sb 0.000 0.000 0.500
Te1 Te 0.500 0.500 0.500
I1 I 0.000 0.500 0.000
```

Calculated values
As for the uncorrected formation energy: 536 meV/atom. Its density of states at the Fermi level is 1.006 states/eV/atom. The spin magnetization is 1.0 μB per cell. The value obtained for the offset from the most stable computed form is 0 meV/atom.